# 1
{"formula": "K2InPd2", "functional": "GGA-PBE", "state": "optimized geometry", "crystal_system": "tetragonal", "polymorph_energy_ev_per_atom": 0.497, "lattice": [[-2.4420, -3.1087, 1.9618], [-1.6618, -1.1672, -3.9182], [3.1629, -6.7611, -1.8127]], "species": ["K", "K", "Pd", "Pd", "In"], "frac_coords": [[0.7500, 0.2500, 0.5000], [0.2500, 0.7500, 0.5000], [0.4093, 0.4093, 0.1814], [0.5907, 0.5907, 0.8186], [0.0000, 0.0000, 0.0000]]}

# 2
{"formula": "KIn3Pd", "functional": "GGA-PBE", "state": "optimized geometry", "crystal_system": "cubic", "polymorph_energy_ev_per_atom": 0.056, "lattice": [[-4.7927, 0.1033, 2.2722], [1.8665, -2.8502, 4.0665], [1.3000, 4.4732, 2.5386]], "species": ["K", "Pd", "In", "In", "In"], "frac_coords": [[0.5000, 0.5000, 0.5000], [0.0000, 0.0000, 0.0000], [0.0000, 0.5000, 0.0000], [0.0000, 0.0000, 0.5000], [0.5000, 0.0000, 0.0000]]}

# 3
{"formula": "K2InPd2", "functional": "GGA-PBE", "state": "optimized geometry", "crystal_system": "tetragonal", "polymorph_energy_ev_per_atom": 0.000, "lattice": [[6.9659, 0.0000, 0.0000], [0.0000, 6.9659, 0.0000], [0.0000, 0.0000, 5.5204]], "species": ["K", "K", "K", "K", "Pd", "Pd", "Pd", "Pd", "In", "In"], "frac_coords": [[0.1738, 0.6738, 0.5000], [0.6738, 0.8262, 0.5000], [0.8262, 0.3262, 0.5000], [0.3262, 0.1738, 0.5000], [0.3633, 0.8633, 0.0000], [0.8633, 0.6367, 0.0000], [0.6367, 0.1367, 0.0000], [0.1367, 0.3633, 0.0000], [0.0000, 0.0000, 0.0000], [0.5000, 0.5000, 0.0000]]}

# 4
{"formula": "K2In12Pd", "functional": "GGA-PBE", "state": "optimized geometry", "crystal_system": "tetragonal", "e_tot_ev_per_atom": -2.8209, "lattice": [[-2.9820, -0.6700, 6.0526], [4.4965, -4.7871, 1.6854], [11.2824, 13.0636, 7.0046]], "species": ["K", "K", "K", "K", "In", "In", "In", "In", "In", "In", "In", "In", "In", "In", "In", "In", "In", "In", "In", "In", "In", "In", "In", "In", "In", "In", "In", "In", "Pd", "Pd"], "frac_coords": [[0.5000, 0.0000, 0.2493], [0.0000, 0.5000, 0.2493], [0.0000, 0.5000, 0.7507], [0.5000, 0.0000, 0.7507], [0.5000, 0.5000, 0.8191], [0.0000, 0.0000, 0.8191], [0.7499, 0.7501, 0.9183], [0.2499, 0.7499, 0.9183], [0.0000, 0.0000, 0.3374], [0.2501, 0.7501, 0.0817], [0.8246, 0.3246, 0.5696], [0.5000, 0.5000, 0.3374], [0.2501, 0.2499, 0.9183], [0.7501, 0.7499, 0.0817], [0.3246, 0.1754, 0.5696], [0.6754, 0.1754, 0.4304], [0.0000, 0.0000, 0.6626], [0.1754, 0.3246, 0.4304], [0.2499, 0.2501, 0.0817], [0.8246, 0.6754, 0.4304], [0.6754, 0.8246, 0.5696], [0.0000, 0.0000, 0.1809], [0.1754, 0.6754, 0.5696], [0.5000, 0.5000, 0.6626], [0.7501, 0.2501, 0.9183], [0.5000, 0.5000, 0.1809], [0.3246, 0.8246, 0.4304], [0.7499, 0.2499, 0.0817], [0.5000, 0.0000, 0.0000], [0.0000, 0.5000, 0.0000]]}

# 5
{"formula": "KInPd2", "functional": "GGA-PBE", "state": "optimized geometry", "crystal_system": "tetragonal", "e_tot_ev_per_atom": -3.4872, "lattice": [[-4.1782, 6.4574, 1.5367], [-6.5891, -4.2542, -0.0387], [-5.0565, 0.5663, 3.8878]], "species": ["K", "K", "Pd", "Pd", "Pd", "Pd", "In", "In"], "frac_coords": [[0.5000, 0.5000, 0.0000], [0.2500, 0.7500, 0.5000], [0.6759, 0.1250, 0.2500], [0.0741, 0.6250, 0.2500], [0.3750, 0.3241, 0.7500], [0.8750, 0.9259, 0.7500], [0.0000, 0.0000, 0.0000], [0.7500, 0.2500, 0.5000]]}

# 6
{"formula": "KIn4Pd2", "functional": "GGA-PBE", "state": "optimized geometry", "crystal_system": "orthorhombic", "e_tot_ev_per_atom": -3.5114, "lattice": [[4.7504, 0.0000, 0.0000], [0.0000, 7.2898, 0.0000], [0.0000, 0.0000, 18.9118]], "species": ["K", "K", "K", "K", "Pd", "Pd", "Pd", "Pd", "Pd", "Pd", "Pd", "Pd", "In", "In", "In", "In", "In", "In", "In", "In", "In", "In", "In", "In", "In", "In", "In", "In"], "frac_coords": [[0.7500, 0.9824, 0.6404], [0.2500, 0.0176, 0.3596], [0.2500, 0.4824, 0.8596], [0.7500, 0.5176, 0.1404], [0.2500, 0.7449, 0.5372], [0.7500, 0.2551, 0.4628], [0.7500, 0.2449, 0.9628], [0.2500, 0.7551, 0.0372], [0.2500, 0.9715, 0.7844], [0.7500, 0.0285, 0.2156], [0.7500, 0.4715, 0.7156], [0.2500, 0.5285, 0.2844], [0.2500, 0.2686, 0.6919], [0.7500, 0.7314, 0.3081], [0.7500, 0.7686, 0.8081], [0.2500, 0.2314, 0.1919], [0.2500, 0.6834, 0.6853], [0.7500, 0.3166, 0.3147], [0.7500, 0.1834, 0.8147], [0.2500, 0.8166, 0.1853], [0.2500, 0.1508, 0.5337], [0.7500, 0.8492, 0.4663], [0.7500, 0.6508, 0.9663], [0.2500, 0.3492, 0.0337], [0.2500, 0.4895, 0.4290], [0.7500, 0.5105, 0.5710], [0.7500, 0.9895, 0.0710], [0.2500, 0.0105, 0.9290]]}

# 7
{"formula": "KIn4Pd", "functional": "GGA-PBE", "state": "optimized geometry", "crystal_system": "orthorhombic", "polymorph_energy_ev_per_atom": 0.000, "lattice": [[-2.0026, -3.8444, 0.4449], [2.8412, -2.3299, -7.3434], [7.2314, -3.3211, 3.8515]], "species": ["K", "K", "In", "In", "In", "In", "In", "In", "In", "In", "Pd", "Pd"], "frac_coords": [[0.0000, 0.5968, 0.7500], [0.0000, 0.4032, 0.2500], [0.0000, 0.0000, 0.5000], [0.0000, 0.0000, 0.0000], [0.5000, 0.9354, 0.7500], [0.5000, 0.0646, 0.2500], [0.5000, 0.7003, 0.0640], [0.5000, 0.2997, 0.9360], [0.5000, 0.7003, 0.4360], [0.5000, 0.2997, 0.5640], [0.0000, 0.1825, 0.7500], [0.0000, 0.8175, 0.2500]]}

# 8
{"formula": "KInPd2", "functional": "GGA-PBE", "state": "optimized geometry", "crystal_system": "tetragonal", "e_tot_ev_per_atom": -3.7702, "lattice": [[-1.1209, -3.0321, -0.8785], [2.5112, -0.2915, -2.1978], [4.5064, -3.2840, 5.5845]], "species": ["K", "Pd", "Pd", "In"], "frac_coords": [[0.5000, 0.5000, 0.5000], [0.0000, 0.0000, 0.8127], [0.0000, 0.0000, 0.1873], [0.5000, 0.5000, 0.0000]]}

Question: What is the formula in the eighth record?
Answer: KInPd2